Compound: Na2CoIO6
Source: Alexandria via LeMat-Bulk
Functional: PBE with a Hubbard U
Structure: optimized geometry

Cell: 5.428 5.428 5.406 Å, 119.84 119.84 60.59°
Fractional coordinates of all 10 atoms:
Na (0.249, 0.249, 0.264)
Na (0.751, 0.751, 0.736)
Co (0.000, 0.000, 0.500)
I (0.500, 0.500, 0.000)
O (0.206, 0.695, 0.708)
O (0.260, 0.260, 0.851)
O (0.305, 0.794, 0.292)
O (0.695, 0.206, 0.708)
O (0.740, 0.740, 0.149)
O (0.794, 0.305, 0.292)

Spin magnetization   4.00 μB per cell
Uncorrected energy   -0.3521 Ry/atom
ρ   4802 kg/m³